No. 1
The following is a DFT calculation (PBE) of a relaxed structure of Li3CuAg6.

- D(E_F) (states/eV/cell) = 5.4
- total energy (eV for the cell shown) = -56.127
- energy above the most stable polymorph in this dataset (kJ/mol of atoms) = 0.00
- calculated density (Mg/m³) = 7.37

Unit cell a=7.5852 b=4.6599 c=9.9198 alpha=90.00 beta=109.81 gamma=90.00
Last column: nearest neighbours and their distance in Å.
Space group P2_1/m (No. 11)
Asymmetric unit:
Li 0.0964 0.2500 0.2339 (multiplicity 2)  8 Ag 2.74-2.90, 1 Cu 2.85, 3 Li 2.93-2.97
Li 0.3017 0.2500 0.0260 (multiplicity 2)  11 Ag 2.80-2.94, 1 Li 2.97
Li 0.3162 0.7500 0.3734 (multiplicity 2)  9 Ag 2.73-2.89, 1 Cu 2.92, 2 Li 2.93
Cu 0.0967 0.7500 0.5650 (multiplicity 2)  8 Ag 2.68-2.86, 2 Cu 2.82, 2 Li 2.85-2.92
Ag 0.0787 0.2500 0.7191 (multiplicity 2)  3 Cu 2.68-2.81, 4 Li 2.80-2.94, 4 Ag 2.85-2.90
Ag 0.1015 0.7500 0.0702 (multiplicity 2)  5 Ag 2.83-2.90, 7 Li 2.85-2.89
Ag 0.2810 0.2500 0.5240 (multiplicity 2)  3 Cu 2.70-2.82, 4 Li 2.74-2.87, 5 Ag 2.85-2.97
Ag 0.2886 0.7500 0.8595 (multiplicity 2)  4 Li 2.75-2.93, 1 Cu 2.79, 7 Ag 2.89-2.90
Ag 0.4978 0.7500 0.6632 (multiplicity 2)  5 Li 2.73-2.94, 1 Cu 2.86, 6 Ag 2.88-2.92
Ag 0.4986 0.7500 0.1647 (multiplicity 2)  4 Li 2.80-2.86, 8 Ag 2.83-3.02

No. 2
The following is a DFT calculation (PBE) of a relaxed structure of LiCuAg4.

- D(E_F) (states/eV/cell) = 6.5
- total energy (eV for the cell shown) = -65.747
- energy above the most stable polymorph in this dataset (kJ/mol of atoms) = 12.96
- calculated density (Mg/m³) = 7.27

Unit cell a=7.7122 b=7.7122 c=7.7122 alpha=90.00 beta=90.00 gamma=90.00
Last column: nearest neighbours and their distance in Å.
Space group F-43m (No. 216)
Asymmetric unit:
Li 0.0000 0.0000 0.0000 (multiplicity 4)  12 Ag 3.20, 4 Cu 3.34
Cu 0.2500 0.2500 0.2500 (multiplicity 4)  12 Ag 3.20, 4 Li 3.34
Ag 0.1249 0.1249 0.6249 (multiplicity 16)  6 Ag 2.72-2.73

No. 3
The following is a DFT calculation (PBE) of a relaxed structure of LiCu2Ag.

- D(E_F) (states/eV/cell) = 0.5
- total energy (eV for the cell shown) = -13.058
- energy above the most stable polymorph in this dataset (kJ/mol of atoms) = 0.90
- calculated density (Mg/m³) = 7.24

Unit cell a=2.7043 b=3.7445 c=5.4841 alpha=90.00 beta=92.10 gamma=90.00
Last column: nearest neighbours and their distance in Å.
Space group Pm (No. 6)
Asymmetric unit:
Li 0.0000 0.0000 0.0000 (multiplicity 1)  5 Cu 2.54-2.73, 4 Ag 2.69-2.73, 2 Li 2.70
Cu 0.0123 0.0000 0.5373 (multiplicity 1)  1 Li 2.54, 6 Cu 2.57-2.70, 4 Ag 2.75-2.78
Cu 0.5113 0.5000 0.7506 (multiplicity 1)  6 Cu 2.57-2.70, 4 Li 2.64-2.73, 2 Ag 2.69-2.79
Ag 0.5022 0.5000 0.2592 (multiplicity 1)  4 Li 2.69-2.73, 6 Cu 2.69-2.79, 2 Ag 2.70

No. 4
The following is a DFT calculation (PBE) of a relaxed structure of Li7Cu2Ag.

- D(E_F) (states/eV/cell) = 2.6
- total energy (eV for the cell shown) = -24.217
- calculated density (Mg/m³) = 2.90

Unit cell a=4.4139 b=4.4139 c=9.6249 alpha=90.00 beta=90.00 gamma=120.00
Last column: nearest neighbours and their distance in Å.
Space group P3m1 (No. 156)
Asymmetric unit:
Li 0.0000 0.0000 0.0000 (multiplicity 1)  1 Cu 2.36, 4 Li 2.41-2.61
Li 0.0000 0.0000 0.2506 (multiplicity 1)  2 Li 2.41-2.48, 3 Cu 2.68, 3 Ag 2.70
Li 0.0000 0.0000 0.5084 (multiplicity 1)  1 Cu 2.37, 4 Li 2.48-2.61
Li 0.3333 0.6667 0.0606 (multiplicity 1)  3 Li 2.61, 1 Ag 2.71, 3 Cu 2.74
Li 0.3333 0.6667 0.6699 (multiplicity 1)  3 Cu 2.67, 3 Li 2.98
Li 0.6667 0.3333 0.4479 (multiplicity 1)  3 Li 2.61, 1 Cu 2.72, 3 Ag 2.74
Li 0.6667 0.3333 0.8450 (multiplicity 1)  3 Cu 2.69, 3 Li 2.95
Cu 0.0000 0.0000 0.7543 (multiplicity 1)  2 Li 2.36-2.37
Cu 0.6667 0.3333 0.1653 (multiplicity 1)  7 Li 2.68-2.74
Ag 0.3333 0.6667 0.3425 (multiplicity 1)  10 Li 2.70-3.01

No. 5
The following is a DFT calculation (PBE) of a relaxed structure of LiCu2Ag.

- D(E_F) (states/eV/cell) = 1.3
- total energy (eV for the cell shown) = -13.051
- energy above the most stable polymorph in this dataset (kJ/mol of atoms) = 1.08
- calculated density (Mg/m³) = 7.33

Unit cell a=3.6964 b=3.6964 c=4.0092 alpha=90.00 beta=90.00 gamma=90.00
Last column: nearest neighbours and their distance in Å.
Space group P4/mmm (No. 123)
Asymmetric unit:
Li 0.0000 0.0000 0.0000 (multiplicity 1)  4 Ag 2.61, 8 Cu 2.73
Cu 0.0000 0.5000 0.5000 (multiplicity 2)  4 Cu 2.61, 4 Li 2.73, 4 Ag 2.73
Ag 0.5000 0.5000 0.0000 (multiplicity 1)  4 Li 2.61, 8 Cu 2.73

No. 6
The following is a DFT calculation (PBE) of a relaxed structure of LiCu2Ag.

- D(E_F) (states/eV/cell) = 0.9
- total energy (eV for the cell shown) = -12.946
- energy above the most stable polymorph in this dataset (kJ/mol of atoms) = 3.60
- calculated density (Mg/m³) = 7.24

Unit cell a=2.6795 b=4.3644 c=4.8017 alpha=90.00 beta=98.91 gamma=90.00
Last column: nearest neighbours and their distance in Å.
Space group P2/m (No. 10)
Asymmetric unit:
Li 0.0000 0.0000 0.0000 (multiplicity 1)  4 Cu 2.55, 2 Ag 2.56, 2 Li 2.68
Cu 0.2020 0.5000 0.7643 (multiplicity 2)  2 Li 2.55, 5 Cu 2.56-2.68, 2 Ag 2.71
Ag 0.5000 0.0000 0.5000 (multiplicity 1)  2 Li 2.56, 2 Ag 2.68, 4 Cu 2.71

No. 7
The following is a DFT calculation (PBE) of a relaxed structure of Li4CuAg5.

- D(E_F) (states/eV/cell) = 3.2
- total energy (eV for the cell shown) = -27.478
- energy above the most stable polymorph in this dataset (kJ/mol of atoms) = 0.00
- calculated density (Mg/m³) = 6.62

Unit cell a=3.1778 b=3.1778 c=15.6549 alpha=90.00 beta=90.00 gamma=90.00
Last column: nearest neighbours and their distance in Å.
Space group P4/mmm (No. 123)
Asymmetric unit:
Li 0.0000 0.0000 0.1014 (multiplicity 2)  8 Ag 2.75
Li 0.0000 0.0000 0.3039 (multiplicity 2)  8 Ag 2.73-2.75
Cu 0.0000 0.0000 0.5000 (multiplicity 1)  8 Ag 2.71
Ag 0.5000 0.5000 0.0000 (multiplicity 1)  8 Li 2.75
Ag 0.5000 0.5000 0.2023 (multiplicity 2)  8 Li 2.75
Ag 0.5000 0.5000 0.4033 (multiplicity 2)  4 Cu 2.71, 4 Li 2.73, 1 Ag 3.03

No. 8
The following is a DFT calculation (PBE) of a relaxed structure of Li6CuAg3.

- D(E_F) (states/eV/cell) = 7.2
- total energy (eV for the cell shown) = -50.734
- calculated density (Mg/m³) = 4.39

Unit cell a=7.5043 b=4.6826 c=9.7253 alpha=90.00 beta=108.52 gamma=90.00
Last column: nearest neighbours and their distance in Å.
Space group P2_1/m (No. 11)
Asymmetric unit:
Li 0.0180 0.2500 0.1719 (multiplicity 2)  6 Li 2.70-2.97, 4 Ag 2.80-2.89, 2 Cu 2.82
Li 0.1840 0.2500 0.9631 (multiplicity 2)  6 Li 2.70-2.96, 1 Cu 2.72, 5 Ag 2.73-2.96
Li 0.1885 0.2500 0.4702 (multiplicity 2)  7 Li 2.71-3.01, 3 Cu 2.75-2.86, 2 Ag 2.79-2.92
Li 0.1929 0.7500 0.6296 (multiplicity 2)  6 Li 2.71-2.89, 3 Ag 2.80-2.84, 3 Cu 2.84
Li 0.3891 0.7500 0.4180 (multiplicity 2)  5 Ag 2.69-2.90, 1 Cu 2.78, 4 Li 2.89-3.01
Li 0.3997 0.7500 0.9333 (multiplicity 2)  5 Ag 2.79-2.86, 7 Li 2.86-2.97
Cu 0.0021 0.2500 0.6725 (multiplicity 2)  2 Ag 2.69-2.78, 10 Li 2.72-2.86
Ag 0.2001 0.7500 0.1324 (multiplicity 2)  8 Li 2.69-2.89, 1 Cu 2.78, 3 Ag 2.92-2.99
Ag 0.3801 0.2500 0.7672 (multiplicity 2)  1 Cu 2.69, 8 Li 2.75-2.87, 3 Ag 2.90-2.99
Ag 0.4130 0.2500 0.2734 (multiplicity 2)  8 Li 2.77-2.96, 4 Ag 2.90-2.92